# 1
Computed, not measured: crystalline AgP2SCl at its relaxed geometry at the PBE-GGA level of DFT.

* M_tot: 0.64 Bohr magnetons per cell
* uncorrected formation energy: 1.143 eV/atom
* calculated volume: 22.720 Å³ per atom

Unit cell a=4.8918 b=4.8918 c=4.7471 alpha=90.00 beta=90.00 gamma=90.00
Closest atoms and distances in Å follow each position.
Space group P4/mmm (No. 123)
Inequivalent atoms, fractional coordinates:
Ag 0.0000 0.0000 0.0000 x1  2 Cl 2.37, 4 P 2.45
P 0.0000 0.5000 0.0000 x2  2 Ag 2.45
S 0.5000 0.5000 0.5000 x1  8 P 3.41, 4 Cl 3.46
Cl 0.0000 0.0000 0.5000 x1  2 Ag 2.37



# 2
Computed, not measured: crystalline La7Tl4Cl at its relaxed geometry at the PBE-GGA level of DFT.

* M_tot: 0.00 Bohr magnetons per cell
* uncorrected formation energy: -0.512 eV/atom
* calculated volume: 32.249 Å³ per atom

Unit cell a=17.7357 b=5.5845 c=9.0289 alpha=90.00 beta=120.06 gamma=90.00
Closest atoms and distances in Å follow each position.
Space group C2/m (No. 12)
Inequivalent atoms, fractional coordinates:
La 0.0000 0.0000 0.0000 x2  2 Cl 2.79
La 0.0743 0.5000 0.7560 x4  1 Cl 3.08, 2 La 3.39, 2 Tl 3.44
La 0.1611 0.5000 0.3779 x4  1 Cl 3.17, 3 Tl 3.34-3.45
La 0.1938 0.0000 0.8125 x4  4 Tl 3.24-3.31, 2 La 3.39
Tl 0.0547 0.0000 0.4058 x4  1 Tl 3.16, 6 La 3.24-3.45
Tl 0.2134 0.0000 0.1966 x4  8 La 3.26-3.59
Cl 0.0000 0.5000 0.0000 x2  4 La 2.79-3.08



# 3
Computed, not measured: crystalline Be2HgP at its relaxed geometry at the PBE-GGA level of DFT.

* M_tot: 0.00 Bohr magnetons per cell
* energy relative to the elements: 435 meV per atom
* calculated volume: 18.495 Å³ per atom

Unit cell a=3.3935 b=6.4013 c=6.8113 alpha=90.00 beta=90.00 gamma=90.00
Closest atoms and distances in Å follow each position.
Space group Immm (No. 71)
Inequivalent atoms, fractional coordinates:
Be 0.0000 0.1890 0.0000 x4  2 P 2.08
Hg 0.0000 0.0000 0.5000 x2  4 Be 2.62
P 0.0000 0.5000 0.5000 x2  4 Be 2.08



- M_tot of number 2 (La7Tl4Cl)?
  0.00 Bohr magnetons per cell